1.
# SbMoIr2

A geometry-optimized SbMoIr2 structure (GGA-PBE, the Alexandria database).

Cell lengths 4.0232, 4.0232, 8.0137 Å; angles 90.00, 90.00, 90.00 degrees
Last column: nearest neighbours and their distance in Å.
Space group I4/mmm (No. 139)
Unique sites:
1 Sb 0.0000 0.0000 0.0000 (multiplicity 2)  8 Ir 2.84, 4 Mo 2.84
2 Mo 0.0000 0.0000 0.5000 (multiplicity 2)  8 Ir 2.84, 4 Sb 2.84
3 Ir 0.0000 0.5000 0.2500 (multiplicity 4)  4 Mo 2.84, 4 Sb 2.84, 4 Ir 2.84

**Raw formation energy**: 0.09 eV per atom


2.
# HoThNiPd

A geometry-optimized HoThNiPd structure (GGA-PBE, the Alexandria database).

Cell lengths 4.2542, 3.7474, 11.1457 Å; angles 90.00, 90.00, 90.00 degrees
Last column: nearest neighbours and their distance in Å.
Space group Amm2 (No. 38)
Unique sites:
1 Ho 0.0000 0.0000 0.0000 (multiplicity 2)  4 Pd 2.91, 3 Ni 2.93-3.24
2 Th 0.5000 0.0000 0.2757 (multiplicity 2)  4 Ni 2.87, 3 Pd 3.06-3.16
3 Ni 0.0000 0.0000 0.7369 (multiplicity 2)  4 Th 2.87, 2 Pd 2.91, 1 Ho 2.93
4 Pd 0.5000 0.0000 0.5590 (multiplicity 2)  2 Ni 2.91, 4 Ho 2.91, 3 Th 3.06-3.16

**Formation energy**: -2.625 eV/f.u.


3.
# BaPmZnPb

A geometry-optimized BaPmZnPb structure (GGA-PBE, the Alexandria database).

Cell lengths 8.0189, 8.0189, 8.0189 Å; angles 90.00, 90.00, 90.00 degrees
Last column: nearest neighbours and their distance in Å.
Space group F-43m (No. 216)
Unique sites:
1 Ba 0.0000 0.0000 0.0000 (multiplicity 4)  4 Pb 3.47, 4 Zn 3.47
2 Pm 0.0000 0.0000 0.5000 (multiplicity 4)  4 Pb 3.47, 4 Zn 3.47
3 Zn 0.2500 0.2500 0.7500 (multiplicity 4)  4 Ba 3.47, 4 Pm 3.47
4 Pb 0.2500 0.2500 0.2500 (multiplicity 4)  4 Pm 3.47, 4 Ba 3.47

**Formation energy**: -1.116 eV/f.u.


Copy entry 2 word for word.
# HoThNiPd

A geometry-optimized HoThNiPd structure (GGA-PBE, the Alexandria database).

Cell lengths 4.2542, 3.7474, 11.1457 Å; angles 90.00, 90.00, 90.00 degrees
Last column: nearest neighbours and their distance in Å.
Space group Amm2 (No. 38)
Unique sites:
1 Ho 0.0000 0.0000 0.0000 (multiplicity 2)  4 Pd 2.91, 3 Ni 2.93-3.24
2 Th 0.5000 0.0000 0.2757 (multiplicity 2)  4 Ni 2.87, 3 Pd 3.06-3.16
3 Ni 0.0000 0.0000 0.7369 (multiplicity 2)  4 Th 2.87, 2 Pd 2.91, 1 Ho 2.93
4 Pd 0.5000 0.0000 0.5590 (multiplicity 2)  2 Ni 2.91, 4 Ho 2.91, 3 Th 3.06-3.16

**Formation energy**: -2.625 eV/f.u.